# PBE-GGA RbLiMoCl6, relaxed
# ΔE_f (raw): -1.327 eV/atom
# calculated volume: 30.31 Å³ per atom
data_RbLiMoCl6
_chemical_formula_sum 'Rb1 Li1 Mo1 Cl6'
_space_group_name_H-M_alt 'P 3 1 2'
_space_group_IT_number 149
_space_group_name_Hall 'P 3 2'
_cell_length_a 6.5529
_cell_length_b 6.5529
_cell_length_c 7.3358
_cell_angle_alpha 90.00
_cell_angle_beta 90.00
_cell_angle_gamma 120.00
loop_
_atom_site_label
_atom_site_fract_x
_atom_site_fract_y
_atom_site_fract_z
_atom_site_occupancy
Rb1 0.0000 0.0000 0.0000 1
Li1 0.3333 0.6667 0.5000 1
Mo1 0.6667 0.3333 0.5000 1
Cl1 0.3812 0.0212 0.6890 1


# PBE-GGA Rb2LiMoCl6, relaxed
# ΔE_f (raw): -1.473 eV/atom
# energy above the most stable polymorph in this dataset: 0.048 eV per atom
# calculated volume: 26.00 Å³ per atom
data_Rb2LiMoCl6
_chemical_formula_sum 'Rb4 Li2 Mo2 Cl12'
_space_group_name_H-M_alt 'I 4/m m m'
_space_group_IT_number 139
_space_group_name_Hall '-I 4 2'
_cell_length_a 7.562
_cell_length_b 7.562
_cell_length_c 9.094
_cell_angle_alpha 90.00
_cell_angle_beta 90.00
_cell_angle_gamma 90.00
loop_
_atom_site_label
_atom_site_fract_x
_atom_site_fract_y
_atom_site_fract_z
_atom_site_occupancy
Rb1 0.000 0.500 0.250 1
Li1 0.000 0.000 0.000 1
Mo1 0.000 0.000 0.500 1
Cl1 0.000 0.000 0.238 1
Cl2 0.231 0.231 0.500 1


# PBE-GGA Rb2LiMoCl6, relaxed
# ΔE_f (raw): -1.520 eV/atom
# energy above the most stable polymorph in this dataset: 0.000 eV per atom
# calculated volume: 27.01 Å³ per atom
data_Rb2LiMoCl6
_chemical_formula_sum 'Rb12 Li6 Mo6 Cl36'
_space_group_name_H-M_alt 'R -3 m'
_space_group_IT_number 166
_space_group_name_Hall '-R 3 2"'
_cell_length_a 7.2108
_cell_length_b 7.2108
_cell_length_c 35.9956
_cell_angle_alpha 90.00
_cell_angle_beta 90.00
_cell_angle_gamma 120.00
loop_
_atom_site_label
_atom_site_fract_x
_atom_site_fract_y
_atom_site_fract_z
_atom_site_occupancy
Rb1 0.0000 0.0000 0.1254 1
Rb2 0.0000 0.0000 0.2930 1
Li1 0.0000 0.0000 0.4136 1
Mo1 0.0000 0.0000 0.0000 1
Mo2 0.0000 0.0000 0.5000 1
Cl1 0.0112 0.5056 0.7064 1
Cl2 0.0166 0.5083 0.1259 1